Density functional theory data (GGA+U) for a geometry-optimized Cr2CClF structure.

The calculated total energy is -22.3 eV/f.u.

Unit cell a=4.714 b=4.714 c=4.357 alpha=90.00 beta=90.00 gamma=90.00
Space group P4/mmm (No. 123)
Unique sites:
Cr (0.000, 0.500, 0.000) x2
C (0.000, 0.000, 0.500) x1
Cl (0.500, 0.500, 0.000) x1
F (0.500, 0.500, 0.500) x1